The following is a PBE with a Hubbard U calculation of a relaxed NdTlV2O6 crystal, from Alexandria.

abc: 11.026 10.523 6.050
angles: 90.00 103.43 90.00
Space group C2/c (No. 15)
Asymmetric unit:
Nd 0.000 0.108 0.250 [4 per cell]
Tl 0.000 0.336 0.750 [4 per cell]
V 0.216 0.414 0.294 [8 per cell]
O 0.117 0.062 0.624 [8 per cell]
O 0.148 0.264 0.228 [8 per cell]
O 0.157 0.487 0.533 [8 per cell]

Its total energy is -292.795 eV per cell. The theoretical density comes out at 5.32 Mg/m³.

***

The following is a PBE with a Hubbard U calculation of a relaxed NdTlV2O8 crystal, from Alexandria.

abc: 7.304 7.304 6.504
angles: 90.00 90.00 90.00
Space group I-4m2 (No. 119)
Asymmetric unit:
Nd 0.000 0.000 0.000 [2 per cell]
Tl 0.000 0.500 0.250 [2 per cell]
V 0.000 0.000 0.500 [2 per cell]
V 0.000 0.500 0.750 [2 per cell]
O 0.000 0.185 0.329 [8 per cell]
O 0.000 0.316 0.920 [8 per cell]

Its total energy is -170.799 eV per cell. The theoretical density comes out at 5.54 Mg/m³.